Material: TlGa3Bi
Method: DFT, GGA-PBE
State: optimized geometry

Cell lengths 8.4593, 7.6728, 8.7388 Å; angles 109.55, 90.00, 90.00 degrees
Closest atoms and distances in Å follow each position.
Sites, in units of the cell vectors:
Tl: 0.9377 0.6400 0.2145  5 Ga 3.11-3.32, 1 Bi 3.46
Tl: 0.0623 0.3600 0.7855  5 Ga 3.11-3.32, 1 Bi 3.46
Tl: 0.4377 0.3600 0.2855  5 Ga 3.11-3.32, 1 Bi 3.46
Tl: 0.5623 0.6400 0.7145  5 Ga 3.11-3.32, 1 Bi 3.46
Ga: 0.2017 0.0897 0.4486  2 Ga 2.62-2.71, 2 Bi 2.88-2.90
Ga: 0.7983 0.9103 0.5514  2 Ga 2.62-2.71, 2 Bi 2.88-2.90
Ga: 0.7017 0.9103 0.0514  2 Ga 2.62-2.71, 2 Bi 2.88-2.90
Ga: 0.2983 0.0897 0.9486  2 Ga 2.62-2.71, 2 Bi 2.88-2.90
Ga: 0.5086 0.8114 0.4172  3 Ga 2.69-2.77
Ga: 0.4914 0.1886 0.5828  3 Ga 2.69-2.77
Ga: 0.0086 0.1886 0.0828  3 Ga 2.69-2.77
Ga: 0.9914 0.8114 0.9172  3 Ga 2.69-2.77
Ga: 0.9148 0.6204 0.6071  3 Ga 2.59-2.69
Ga: 0.0852 0.3796 0.3929  3 Ga 2.59-2.69
Ga: 0.4148 0.3796 0.8929  3 Ga 2.59-2.69
Ga: 0.5852 0.6204 0.1071  3 Ga 2.59-2.69
Bi: 0.2189 0.8367 0.6317  5 Ga 2.88-3.21
Bi: 0.7811 0.1633 0.3683  5 Ga 2.88-3.21
Bi: 0.7189 0.1633 0.8683  5 Ga 2.88-3.21
Bi: 0.2811 0.8367 0.1317  5 Ga 2.88-3.21

Calculated values
Energy relative to the lowest polymorph listed for this composition   0.0 meV/atom
Uncorrected energy   -59.61 eV/cell
Energy relative to the elements   0.4 eV/f.u.